*P*
First-principles (PBE) data for a relaxed SmPdAu4 crystal, as listed in the Alexandria database.

Output
D(E_F)   6.6 states/eV/cell
Volume   467.6 Å³/cell

```
data_SmPdAu4
_symmetry_space_group_name_H-M 'C 1 2/c 1'
_symmetry_Int_Tables_number 15
_cell_length_a 5.6753
_cell_length_b 16.8716
_cell_length_c 4.8832
_cell_angle_alpha 90.00
_cell_angle_beta 90.14
_cell_angle_gamma 90.00
loop_
_symmetry_equiv_pos_as_xyz
'x,y,z'
'-x,-y,-z'
'-x,y,-z+1/2'
'x,-y,z+1/2'
'x+1/2,y+1/2,z'
'-x+1/2,-y+1/2,-z'
'-x+1/2,y+1/2,-z+1/2'
'x+1/2,-y+1/2,z+1/2'
loop_
_atom_site_label
_atom_site_fract_x
_atom_site_fract_y
_atom_site_fract_z
Sm1 0.0000 0.1218 0.2500
Pd1 0.0000 0.3698 0.7500
Au1 0.2412 0.4581 0.2491
Au2 0.2473 0.2920 0.2499
```

*Q*
First-principles (PBE) data for a relaxed SmPdAu4 crystal, as listed in the Alexandria database.

Output
D(E_F)   14.3 states/eV/cell
Volume   475.8 Å³/cell

```
data_SmPdAu4
_symmetry_space_group_name_H-M 'F -4 3 m'
_symmetry_Int_Tables_number 216
_symmetry_space_group_name_Hall 'F -4 2 3'
_cell_length_a 7.8069
_cell_length_b 7.8069
_cell_length_c 7.8069
_cell_angle_alpha 90.00
_cell_angle_beta 90.00
_cell_angle_gamma 90.00
loop_
_atom_site_label
_atom_site_fract_x
_atom_site_fract_y
_atom_site_fract_z
Sm1 0.0000 0.0000 0.0000
Pd1 0.2500 0.2500 0.7500
Au1 0.1245 0.1245 0.3755
```

*R*
First-principles (PBE) data for a relaxed SmPdAu4 crystal, as listed in the Alexandria database.

Output
D(E_F)   1.8 states/eV/cell
Volume   118.5 Å³/cell

```
data_SmPdAu4
_symmetry_space_group_name_H-M 'P m m m'
_symmetry_Int_Tables_number 47
_cell_length_a 3.5850
_cell_length_b 3.7176
_cell_length_c 8.8876
_cell_angle_alpha 90.00
_cell_angle_beta 90.00
_cell_angle_gamma 90.00
loop_
_symmetry_equiv_pos_as_xyz
'x,y,z'
'-x,-y,-z'
'-x,-y,z'
'x,y,-z'
'x,-y,-z'
'-x,y,z'
'-x,y,-z'
'x,-y,z'
loop_
_atom_site_label
_atom_site_fract_x
_atom_site_fract_y
_atom_site_fract_z
Sm1 0.0000 0.0000 0.0000
Pd1 0.5000 0.5000 0.5000
Au1 0.0000 0.0000 0.3427
Au2 0.5000 0.5000 0.1864
```

The most stable arrangement is *P*, and the next structure is 29 meV/atom less stable.

*P*
First-principles (PBE) data for a relaxed SmPd4Au2 crystal, as listed in the Alexandria database.

Output
D(E_F)   5.2 states/eV/cell
Volume   257.4 Å³/cell

```
data_SmPd4Au2
_symmetry_space_group_name_H-M 'C 1 2/m 1'
_symmetry_Int_Tables_number 12
_cell_length_a 8.7563
_cell_length_b 6.8325
_cell_length_c 5.4858
_cell_angle_alpha 90.00
_cell_angle_beta 128.36
_cell_angle_gamma 90.00
loop_
_symmetry_equiv_pos_as_xyz
'x,y,z'
'-x,-y,-z'
'-x,y,-z'
'x,-y,z'
'x+1/2,y+1/2,z'
'-x+1/2,-y+1/2,-z'
'-x+1/2,y+1/2,-z'
'x+1/2,-y+1/2,z'
loop_
_atom_site_label
_atom_site_fract_x
_atom_site_fract_y
_atom_site_fract_z
Sm1 0.0000 0.0000 0.0000
Pd1 0.1997 0.2001 0.6997
Au1 0.9998 0.5000 0.2495
```

*Q*
First-principles (PBE) data for a relaxed SmPd4Au2 crystal, as listed in the Alexandria database.

Output
D(E_F)   5.4 states/eV/cell
Volume   258.8 Å³/cell

```
data_SmPd4Au2
_symmetry_space_group_name_H-M 'P 1'
_symmetry_Int_Tables_number 1
_cell_length_a 6.2353
_cell_length_b 6.7719
_cell_length_c 7.0677
_cell_angle_alpha 66.57
_cell_angle_beta 71.01
_cell_angle_gamma 84.38
loop_
_symmetry_equiv_pos_as_xyz
'x,y,z'
loop_
_atom_site_label
_atom_site_fract_x
_atom_site_fract_y
_atom_site_fract_z
Sm1 0.0000 0.0000 0.0000
Sm2 0.3534 0.3853 0.4334
Pd1 0.0170 0.7161 0.4207
Pd2 0.0903 0.4624 0.8160
Pd3 0.1588 0.2018 0.2135
Pd4 0.3091 0.6535 0.9911
Pd5 0.5628 0.6067 0.5935
Pd6 0.6918 0.0543 0.4035
Pd7 0.7610 0.7966 0.8044
Pd8 0.8656 0.2477 0.6156
Au1 0.2298 0.9129 0.5953
Au2 0.4826 0.8842 0.1679
Au3 0.6255 0.3331 0.9877
Au4 0.8412 0.5242 0.2065
```

The most stable arrangement is *P*, and the next structure is 46 meV/atom less stable.

*P*
First-principles (PBE) data for a relaxed Sm4PdAu crystal, as listed in the Alexandria database.

Output
D(E_F)   17.4 states/eV/cell
Volume   334.2 Å³/cell

```
data_Sm4PdAu
_symmetry_space_group_name_H-M 'P 4/m c c'
_symmetry_Int_Tables_number 124
_symmetry_space_group_name_Hall '-P 4 2c'
_cell_length_a 7.1113
_cell_length_b 7.1113
_cell_length_c 6.6089
_cell_angle_alpha 90.00
_cell_angle_beta 90.00
_cell_angle_gamma 90.00
loop_
_atom_site_label
_atom_site_fract_x
_atom_site_fract_y
_atom_site_fract_z
Sm1 0.1721 0.3202 0.0000
Pd1 0.0000 0.0000 0.2500
Au1 0.5000 0.5000 0.2500
```

*Q*
First-principles (PBE) data for a relaxed Sm4PdAu crystal, as listed in the Alexandria database.

Output
D(E_F)   36.9 states/eV/cell
Volume   810.5 Å³/cell

```
data_Sm4PdAu
_symmetry_space_group_name_H-M 'I 41 m d'
_symmetry_Int_Tables_number 109
_symmetry_space_group_name_Hall 'I 4bw -2'
_cell_length_a 9.7653
_cell_length_b 9.7653
_cell_length_c 8.4997
_cell_angle_alpha 90.00
_cell_angle_beta 90.00
_cell_angle_gamma 90.00
loop_
_atom_site_label
_atom_site_fract_x
_atom_site_fract_y
_atom_site_fract_z
Sm1 0.0000 0.2011 0.0000
Sm2 0.0000 0.2025 0.4828
Pd1 0.0000 0.0000 0.2420
Au1 0.0000 0.0000 0.7415
```

The most stable arrangement is *P*, and the next structure is 193 meV/atom less stable.

*P*
First-principles (PBE) data for a relaxed SmPd4Au5 crystal, as listed in the Alexandria database.

Output
D(E_F)   6.3 states/eV/cell
Volume   380.4 Å³/cell

```
data_SmPd4Au5
_symmetry_space_group_name_H-M 'C 1 2/m 1'
_symmetry_Int_Tables_number 12
_cell_length_a 13.1953
_cell_length_b 4.5663
_cell_length_c 7.4428
_cell_angle_alpha 90.00
_cell_angle_beta 121.98
_cell_angle_gamma 90.00
loop_
_symmetry_equiv_pos_as_xyz
'x,y,z'
'-x,-y,-z'
'-x,y,-z'
'x,-y,z'
'x+1/2,y+1/2,z'
'-x+1/2,-y+1/2,-z'
'-x+1/2,y+1/2,-z'
'x+1/2,-y+1/2,z'
loop_
_atom_site_label
_atom_site_fract_x
_atom_site_fract_y
_atom_site_fract_z
Sm1 0.0000 0.0000 0.0000
Pd1 0.0413 0.5000 0.2795
Pd2 0.1889 0.0000 0.4494
Au1 0.0000 0.0000 0.5000
Au2 0.1650 0.5000 0.7116
Au3 0.1866 0.5000 0.1012
```

*Q*
First-principles (PBE) data for a relaxed SmPd4Au5 crystal, as listed in the Alexandria database.

Output
D(E_F)   9.3 states/eV/cell
Volume   385.7 Å³/cell

```
data_SmPd4Au5
_symmetry_space_group_name_H-M 'P m m n'
_symmetry_Int_Tables_number 59
_cell_length_a 8.2152
_cell_length_b 9.7624
_cell_length_c 4.8098
_cell_angle_alpha 90.00
_cell_angle_beta 90.00
_cell_angle_gamma 90.00
loop_
_symmetry_equiv_pos_as_xyz
'x,y,z'
'-x,-y,-z'
'-x+1/2,-y+1/2,z'
'x+1/2,y+1/2,-z'
'x+1/2,-y,-z'
'-x+1/2,y,z'
'-x,y+1/2,-z'
'x,-y+1/2,z'
loop_
_atom_site_label
_atom_site_fract_x
_atom_site_fract_y
_atom_site_fract_z
Sm1 0.2500 0.2500 0.1461
Pd1 0.0041 0.7500 0.4077
Pd2 0.2500 0.5525 0.2635
Au1 0.0809 0.5083 0.7540
Au2 0.2500 0.7500 0.8468
```

The most stable arrangement is *P*, and the next structure is 28 meV/atom less stable.

*P*
First-principles (PBE) data for a relaxed SmPd3Au3 crystal, as listed in the Alexandria database.

Output
D(E_F)   6.0 states/eV/cell
Volume   256.9 Å³/cell

```
data_SmPd3Au3
_symmetry_space_group_name_H-M 'P 63/m'
_symmetry_Int_Tables_number 176
_symmetry_space_group_name_Hall '-P 6c'
_cell_length_a 7.9140
_cell_length_b 7.9140
_cell_length_c 4.7371
_cell_angle_alpha 90.00
_cell_angle_beta 90.00
_cell_angle_gamma 120.00
loop_
_atom_site_label
_atom_site_fract_x
_atom_site_fract_y
_atom_site_fract_z
Sm1 0.3333 0.6667 0.2500
Pd1 0.0857 0.6220 0.7500
Au1 0.0246 0.7911 0.2500
```

*Q*
First-principles (PBE) data for a relaxed SmPd3Au3 crystal, as listed in the Alexandria database.

Output
D(E_F)   14.5 states/eV/cell
Volume   807.8 Å³/cell

```
data_SmPd3Au3
_symmetry_space_group_name_H-M 'R -3'
_symmetry_Int_Tables_number 148
_symmetry_space_group_name_Hall '-R 3'
_cell_length_a 6.9815
_cell_length_b 6.9815
_cell_length_c 19.1379
_cell_angle_alpha 90.00
_cell_angle_beta 90.00
_cell_angle_gamma 120.00
loop_
_atom_site_label
_atom_site_fract_x
_atom_site_fract_y
_atom_site_fract_z
Sm1 0.0000 0.0000 0.1538
Pd1 0.0148 0.2394 0.5590
Au1 0.0573 0.2738 0.7059
```

The most stable arrangement is *P*, and the next structure is 64 meV/atom less stable.

*P*
First-principles (PBE) data for a relaxed SmPd6Au6 crystal, as listed in the Alexandria database.

Output
D(E_F)   13.2 states/eV/cell
Volume   471.9 Å³/cell

```
data_SmPd6Au6
_symmetry_space_group_name_H-M 'I m m m'
_symmetry_Int_Tables_number 71
_symmetry_space_group_name_Hall '-I 2 2'
_cell_length_a 5.4756
_cell_length_b 9.2501
_cell_length_c 9.3162
_cell_angle_alpha 90.00
_cell_angle_beta 90.00
_cell_angle_gamma 90.00
loop_
_atom_site_label
_atom_site_fract_x
_atom_site_fract_y
_atom_site_fract_z
Sm1 0.0000 0.0000 0.0000
Pd1 0.0000 0.2687 0.5000
Pd2 0.2500 0.2500 0.2500
Au1 0.0000 0.0000 0.3443
Au2 0.0000 0.3369 0.0000
Au3 0.0000 0.5000 0.3051
```

*Q*
First-principles (PBE) data for a relaxed SmPd6Au6 crystal, as listed in the Alexandria database.

Output
D(E_F)   9.5 states/eV/cell
Volume   476.5 Å³/cell

```
data_SmPd6Au6
_symmetry_space_group_name_H-M 'I m m m'
_symmetry_Int_Tables_number 71
_symmetry_space_group_name_Hall '-I 2 2'
_cell_length_a 5.4999
_cell_length_b 9.2802
_cell_length_c 9.3353
_cell_angle_alpha 90.00
_cell_angle_beta 90.00
_cell_angle_gamma 90.00
loop_
_atom_site_label
_atom_site_fract_x
_atom_site_fract_y
_atom_site_fract_z
Sm1 0.0000 0.0000 0.0000
Pd1 0.0000 0.0000 0.3466
Pd2 0.0000 0.3489 0.0000
Pd3 0.0000 0.5000 0.2802
Au1 0.0000 0.2874 0.5000
Au2 0.2500 0.2500 0.2500
```

The most stable arrangement is *P*, and the next structure is 42 meV/atom less stable.

*P*
First-principles (PBE) data for a relaxed TbSmPdAu crystal, as listed in the Alexandria database.

Output
D(E_F)   4.6 states/eV/cell
Volume   193.4 Å³/cell

```
data_TbSmPdAu
_symmetry_space_group_name_H-M 'A m m 2'
_symmetry_Int_Tables_number 38
_cell_length_a 4.7121
_cell_length_b 3.8147
_cell_length_c 10.7595
_cell_angle_alpha 90.00
_cell_angle_beta 90.00
_cell_angle_gamma 90.00
loop_
_symmetry_equiv_pos_as_xyz
'x,y,z'
'-x,-y,z'
'-x,y,z'
'x,-y,z'
'x,y+1/2,z+1/2'
'-x,-y+1/2,z+1/2'
'-x,y+1/2,z+1/2'
'x,-y+1/2,z+1/2'
loop_
_atom_site_label
_atom_site_fract_x
_atom_site_fract_y
_atom_site_fract_z
Tb1 0.0000 0.0000 0.0000
Sm1 0.5000 0.0000 0.2759
Pd1 0.5000 0.0000 0.5498
Au1 0.0000 0.0000 0.7207
```

*Q*
First-principles (PBE) data for a relaxed TbSmPdAu crystal, as listed in the Alexandria database.

Output
D(E_F)   11.0 states/eV/cell
Volume   373.7 Å³/cell

```
data_TbSmPdAu
_symmetry_space_group_name_H-M 'F -4 3 m'
_symmetry_Int_Tables_number 216
_symmetry_space_group_name_Hall 'F -4 2 3'
_cell_length_a 7.2027
_cell_length_b 7.2027
_cell_length_c 7.2027
_cell_angle_alpha 90.00
_cell_angle_beta 90.00
_cell_angle_gamma 90.00
loop_
_atom_site_label
_atom_site_fract_x
_atom_site_fract_y
_atom_site_fract_z
Tb1 0.0000 0.0000 0.0000
Sm1 0.0000 0.0000 0.5000
Pd1 0.2500 0.2500 0.2500
Au1 0.2500 0.2500 0.7500
```

The most stable arrangement is *P*, and the next structure is 51 meV/atom less stable.

*P*
First-principles (PBE) data for a relaxed SnPd2Au2 crystal, as listed in the Alexandria database.

Output
D(E_F)   3.6 states/eV/cell
Volume   187.7 Å³/cell

```
data_SnPd2Au2
_symmetry_space_group_name_H-M 'P 4/m b m'
_symmetry_Int_Tables_number 127
_symmetry_space_group_name_Hall '-P 4 2ab'
_cell_length_a 6.9328
_cell_length_b 6.9328
_cell_length_c 3.9054
_cell_angle_alpha 90.00
_cell_angle_beta 90.00
_cell_angle_gamma 90.00
loop_
_atom_site_label
_atom_site_fract_x
_atom_site_fract_y
_atom_site_fract_z
Sn1 0.0000 0.0000 0.0000
Pd1 0.1416 0.3584 0.0000
Au1 0.1556 0.6556 0.5000
```

*Q*
First-principles (PBE) data for a relaxed SnPd2Au2 crystal, as listed in the Alexandria database.

Output
D(E_F)   3.8 states/eV/cell
Volume   198.9 Å³/cell

```
data_SnPd2Au2
_symmetry_space_group_name_H-M 'I 4/m m m'
_symmetry_Int_Tables_number 139
_symmetry_space_group_name_Hall '-I 4 2'
_cell_length_a 3.8376
_cell_length_b 3.8376
_cell_length_c 13.5064
_cell_angle_alpha 90.00
_cell_angle_beta 90.00
_cell_angle_gamma 90.00
loop_
_atom_site_label
_atom_site_fract_x
_atom_site_fract_y
_atom_site_fract_z
Sn1 0.0000 0.0000 0.0000
Pd1 0.0000 0.5000 0.2500
Au1 0.0000 0.0000 0.3979
```

*R*
First-principles (PBE) data for a relaxed SnPd2Au2 crystal, as listed in the Alexandria database.

Output
D(E_F)   6.0 states/eV/cell
Volume   277.5 Å³/cell

```
data_SnPd2Au2
_symmetry_space_group_name_H-M 'R -3 m'
_symmetry_Int_Tables_number 166
_symmetry_space_group_name_Hall '-R 3 2"'
_cell_length_a 3.0340
_cell_length_b 3.0340
_cell_length_c 34.8122
_cell_angle_alpha 90.00
_cell_angle_beta 90.00
_cell_angle_gamma 120.00
loop_
_atom_site_label
_atom_site_fract_x
_atom_site_fract_y
_atom_site_fract_z
Sn1 0.0000 0.0000 0.0000
Pd1 0.0000 0.0000 0.2724
Au1 0.0000 0.0000 0.4597
```

*S*
First-principles (PBE) data for a relaxed SnPd2Au2 crystal, as listed in the Alexandria database.

Output
D(E_F)   7.7 states/eV/cell
Volume   362.0 Å³/cell

```
data_SnPd2Au2
_symmetry_space_group_name_H-M 'I m m a'
_symmetry_Int_Tables_number 74
_symmetry_space_group_name_Hall '-I 2b 2'
_cell_length_a 4.6455
_cell_length_b 5.8242
_cell_length_c 13.3815
_cell_angle_alpha 90.00
_cell_angle_beta 90.00
_cell_angle_gamma 90.00
loop_
_atom_site_label
_atom_site_fract_x
_atom_site_fract_y
_atom_site_fract_z
Sn1 0.0000 0.2500 0.1301
Pd1 0.0000 0.0005 0.3137
Au1 0.0000 0.2500 0.4999
Au2 0.0000 0.2500 0.8764
```

The most stable arrangement is *S*, and the next structure is 74 meV/atom less stable.

*P*
First-principles (PBE) data for a relaxed SnPdAu3 crystal, as listed in the Alexandria database.

Output
D(E_F)   3.4 states/eV/cell
Volume   198.1 Å³/cell

```
data_SnPdAu3
_symmetry_space_group_name_H-M 'P 1 21/m 1'
_symmetry_Int_Tables_number 11
_cell_length_a 5.3490
_cell_length_b 7.6022
_cell_length_c 5.4750
_cell_angle_alpha 90.00
_cell_angle_beta 117.17
_cell_angle_gamma 90.00
loop_
_symmetry_equiv_pos_as_xyz
'x,y,z'
'-x,-y,-z'
'-x,y+1/2,-z'
'x,-y+1/2,z'
loop_
_atom_site_label
_atom_site_fract_x
_atom_site_fract_y
_atom_site_fract_z
Sn1 0.1198 0.2500 0.3087
Pd1 0.3528 0.7500 0.6380
Au1 0.1738 0.2500 0.8230
Au2 0.3350 0.5642 0.1628
```

*Q*
First-principles (PBE) data for a relaxed SnPdAu3 crystal, as listed in the Alexandria database.

Output
D(E_F)   1.7 states/eV/cell
Volume   128.2 Å³/cell

```
data_SnPdAu3
_symmetry_space_group_name_H-M 'P m -3 m'
_symmetry_Int_Tables_number 221
_symmetry_space_group_name_Hall '-P 4 2 3'
_cell_length_a 5.0426
_cell_length_b 5.0426
_cell_length_c 5.0426
_cell_angle_alpha 90.00
_cell_angle_beta 90.00
_cell_angle_gamma 90.00
loop_
_atom_site_label
_atom_site_fract_x
_atom_site_fract_y
_atom_site_fract_z
Sn1 0.0000 0.0000 0.0000
Pd1 0.5000 0.5000 0.5000
Au1 0.0000 0.5000 0.5000
```

The most stable arrangement is *P*, and the next structure is 610 meV/atom less stable.